Entry 1:
DFT (PBE) results for a relaxed structure of Ti12Tl3Ni.

It has space group P4/mmm (No. 123), with a = 4.166 Å, b = 4.166 Å, c = 16.171 Å, α = 90.00°, β = 90.00° and γ = 90.00°. Symmetry generates all atoms from Ti at (0.000, 0.000, 0.000), Ti at (0.000, 0.000, 0.239), Ti at (0.000, 0.000, 0.500), Ti at (0.000, 0.500, 0.108), Ti at (0.000, 0.500, 0.371), Tl at (0.500, 0.500, 0.239), Tl at (0.500, 0.500, 0.500) and Ni at (0.500, 0.500, 0.000).



Entry 2:
DFT (PBE) results for a relaxed structure of LaScCrGe2.

It has space group P4/mmm (No. 123), with a = 4.759 Å, b = 4.759 Å, c = 4.680 Å, α = 90.00°, β = 90.00° and γ = 90.00°. Symmetry generates all atoms from La at (0.000, 0.000, 0.000), Sc at (0.500, 0.500, 0.000), Cr at (0.500, 0.500, 0.500) and Ge at (0.000, 0.500, 0.500).



Entry 3:
DFT (PBE) results for a relaxed structure of ErZrIn2.

It has space group P4/mmm (No. 123), with a = 3.796 Å, b = 3.796 Å, c = 6.686 Å, α = 90.00°, β = 90.00° and γ = 90.00°. Symmetry generates all atoms from Er at (0.000, 0.000, 0.000), Zr at (0.000, 0.000, 0.500) and In at (0.500, 0.500, 0.264).



Entry 4:
DFT (PBE) results for a relaxed structure of YMg15.

It has space group P-6m2 (No. 187), with a = 6.5163 Å, b = 6.5163 Å, c = 10.3220 Å, α = 90.00°, β = 90.00° and γ = 120.00°. Symmetry generates all atoms from Y at (0.0000, 0.0000, 0.0000), Mg at (0.0000, 0.0000, 0.5000), Mg at (0.0110, 0.5055, 0.0000), Mg at (0.1666, 0.3332, 0.2534), Mg at (0.5022, 0.0045, 0.5000) and Mg at (0.6667, 0.3333, 0.2399).



| no. | total DFT energy (no corrections) (eV/atom) | calculated volume (Å³ per cell) | total moment (μB/cell) |
| --- | --- | --- | --- |
| 1 | -6.7293 | 281 | 0.000 |
| 2 | -6.2088 | 106 | 0.238 |
| 3 | -4.9399 | 96 | 0.000 |
| 4 | -1.9081 | 380 | 0.000 |